No. 1
The following is a PBE calculation of a relaxed La2AlGeAu6 crystal, from the Alexandria database.

Computed properties:
Energy of formation in eV per atom: -0.546
Total magnetic moment in μB/f.u.: 0.00

```
La2AlGeAu6
1.0
7.020 -0.332 1.020
-0.310 6.840 -1.130
4.415 2.423 5.011
La Al Ge Au
2 1 1 6
Direct
0.263 0.739 0.526
0.737 0.261 0.474
0.500 0.500 0.000
0.000 0.000 0.000
0.221 0.712 0.012
0.746 0.898 0.851
0.276 0.285 0.490
0.779 0.288 0.988
0.254 0.102 0.149
0.724 0.715 0.510
```



No. 2
The following is a PBE calculation of a relaxed LiAlGeAu crystal, from the Alexandria database.

Computed properties:
Energy of formation in eV per atom: -0.258
Total magnetic moment in μB/f.u.: 0.00

```
LiAlGeAu
1.0
4.526 0.000 0.000
2.263 3.920 0.000
2.263 1.307 3.696
Ge Au Al Li
1 1 1 1
Direct
0.750 0.750 0.750
0.250 0.250 0.250
0.500 0.500 0.500
0.000 0.000 0.000
```